{"formula": "K2HgBr", "functional": "PBE-GGA", "state": "relaxed", "final_energy_ev_per_atom": -1.811, "e_form_raw_ev_per_atom": -0.77, "crystal_system": "orthorhombic", "de_polymorph_ev_per_atom": 0.139, "spacegroup": "Immm, No. 71", "lattice_angstrom": [[-2.5362, 3.3010, 4.8257], [2.5362, -3.3010, 4.8257], [2.5362, 3.3010, -4.8257]], "species": ["K", "K", "Hg", "Br"], "fractional_positions": [[0.2215, 0.2215, 0.0000], [0.7785, 0.7785, 0.0000], [0.5000, 0.0000, 0.5000], [0.0000, 0.5000, 0.5000]]}


{"formula": "Li2InAu4", "functional": "PBE-GGA", "state": "relaxed", "final_energy_ev_per_atom": -3.139, "crystal_system": "orthorhombic", "de_polymorph_ev_per_atom": 0.000, "spacegroup": "Fmmm, No. 69", "e_form_ev_per_atom": -0.33, "lattice_angstrom": [[0.0000, 4.8240, 4.8581], [2.7174, 0.0000, 4.8581], [2.7174, 4.8240, 0.0000]], "species": ["Li", "Li", "In", "Au", "Au", "Au", "Au"], "fractional_positions": [[0.2500, 0.2500, 0.2500], [0.7500, 0.7500, 0.7500], [0.0000, 0.0000, 0.0000], [0.2894, 0.2894, 0.7106], [0.2904, 0.7096, 0.2904], [0.7096, 0.2904, 0.7096], [0.7106, 0.7106, 0.2894]]}


Q: Which formula does entry 2 have?
A: Li2InAu4


Copy entry 1 word for word.
{"formula": "K2HgBr", "functional": "PBE-GGA", "state": "relaxed", "final_energy_ev_per_atom": -1.811, "e_form_raw_ev_per_atom": -0.77, "crystal_system": "orthorhombic", "de_polymorph_ev_per_atom": 0.139, "spacegroup": "Immm, No. 71", "lattice_angstrom": [[-2.5362, 3.3010, 4.8257], [2.5362, -3.3010, 4.8257], [2.5362, 3.3010, -4.8257]], "species": ["K", "K", "Hg", "Br"], "fractional_positions": [[0.2215, 0.2215, 0.0000], [0.7785, 0.7785, 0.0000], [0.5000, 0.0000, 0.5000], [0.0000, 0.5000, 0.5000]]}